--- P ---
Entry from Alexandria via LeMat-Bulk: an optimized crystal structure of RbMnSbTe2 (PBE).

Cell lengths 6.2014, 6.2014, 6.0527 Å; angles 90.00, 90.00, 90.00 degrees
Element x y z (fractional)
Rb1 0.0000 0.0000 0.0000
Mn1 0.5000 0.5000 0.5000
Sb1 0.0000 0.0000 0.5000
Te1 0.0000 0.5000 0.0000
Te2 0.5000 0.0000 0.0000

--- Q ---
Entry from Alexandria via LeMat-Bulk: an optimized crystal structure of RbMnSbTe2 (PBE).

Cell lengths 5.5537, 5.5537, 5.1694 Å; angles 90.00, 90.00, 90.00 degrees
Element x y z (fractional)
Rb1 0.0000 0.0000 0.0000
Mn1 0.5000 0.5000 0.5000
Sb1 0.5000 0.5000 0.0000
Te1 0.0000 0.5000 0.5000
Te2 0.5000 0.0000 0.5000

It comes down to Q, which is 148.7 kJ/mol of atoms more stable than the next structure.

--- P ---
Entry from Alexandria via LeMat-Bulk: an optimized crystal structure of RbSc3Mn (PBE).

Cell lengths 5.1279, 5.1279, 5.1279 Å; angles 90.00, 90.00, 90.00 degrees
Element x y z (fractional)
Rb1 0.0000 0.0000 0.0000
Sc1 0.0000 0.5000 0.5000
Sc2 0.5000 0.0000 0.5000
Sc3 0.5000 0.5000 0.0000
Mn1 0.5000 0.5000 0.5000

--- Q ---
Entry from Alexandria via LeMat-Bulk: an optimized crystal structure of RbSc3Mn (PBE).

Cell lengths 4.9287, 4.9287, 4.9287 Å; angles 90.00, 90.00, 90.00 degrees
Element x y z (fractional)
Rb1 0.0000 0.0000 0.0000
Sc1 0.0000 0.0000 0.5000
Sc2 0.0000 0.5000 0.0000
Sc3 0.5000 0.0000 0.0000
Mn1 0.5000 0.5000 0.5000

It comes down to P, which is 149.9 kJ/mol of atoms more stable than the next structure.

--- P ---
Entry from Alexandria via LeMat-Bulk: an optimized crystal structure of Rb2ScMn (PBE).

Cell lengths 6.2315, 6.2315, 6.2315 Å; angles 60.00, 60.00, 60.00 degrees
Element x y z (fractional)
Rb1 0.2500 0.2500 0.2500
Rb2 0.7500 0.7500 0.7500
Sc1 0.0000 0.0000 0.0000
Mn1 0.5000 0.5000 0.5000

--- Q ---
Entry from Alexandria via LeMat-Bulk: an optimized crystal structure of Rb2ScMn (PBE).

Cell lengths 9.6908, 9.6908, 9.6908 Å; angles 93.64, 93.64, 150.81 degrees
Element x y z (fractional)
Rb1 0.3750 0.2214 0.3464
Rb2 0.7786 0.1250 0.1536
Rb3 0.8750 0.0286 0.6536
Rb4 0.9714 0.6250 0.8464
Sc1 0.2500 0.7500 0.5000
Sc2 0.5000 0.5000 0.0000
Mn1 0.0000 0.0000 0.0000
Mn2 0.7500 0.2500 0.5000

It comes down to Q, which is 21.3 kJ/mol of atoms more stable than the next structure.

--- P ---
Entry from Alexandria via LeMat-Bulk: an optimized crystal structure of RbSc2Mn (PBE).

Cell lengths 10.8574, 10.8574, 10.8574 Å; angles 17.97, 17.97, 17.97 degrees
Element x y z (fractional)
Rb1 0.0000 0.0000 0.0000
Sc1 0.1136 0.1136 0.1136
Sc2 0.8864 0.8864 0.8864
Mn1 0.5000 0.5000 0.5000

--- Q ---
Entry from Alexandria via LeMat-Bulk: an optimized crystal structure of RbSc2Mn (PBE).

Cell lengths 7.3372, 7.3372, 7.3372 Å; angles 60.00, 60.00, 60.00 degrees
Element x y z (fractional)
Rb1 0.1250 0.1250 0.1250
Rb2 0.8750 0.8750 0.8750
Sc1 0.0000 0.5000 0.5000
Sc2 0.5000 0.0000 0.5000
Sc3 0.5000 0.5000 0.0000
Sc4 0.5000 0.5000 0.5000
Mn1 0.3750 0.3750 0.3750
Mn2 0.6250 0.6250 0.6250

--- R ---
Entry from Alexandria via LeMat-Bulk: an optimized crystal structure of RbSc2Mn (PBE).

Cell lengths 5.0238, 5.0238, 5.0238 Å; angles 60.00, 60.00, 60.00 degrees
Element x y z (fractional)
Rb1 0.0000 0.0000 0.0000
Sc1 0.2500 0.2500 0.2500
Sc2 0.7500 0.7500 0.7500
Mn1 0.5000 0.5000 0.5000

It comes down to P, which is 13.0 kJ/mol of atoms more stable than the next structure.

--- P ---
Entry from Alexandria via LeMat-Bulk: an optimized crystal structure of RbScMn3 (PBE).

Cell lengths 5.0631, 5.0631, 5.0631 Å; angles 90.00, 90.00, 90.00 degrees
Element x y z (fractional)
Rb1 0.0000 0.0000 0.0000
Sc1 0.5000 0.5000 0.5000
Mn1 0.0000 0.0000 0.5000
Mn2 0.0000 0.5000 0.0000
Mn3 0.5000 0.0000 0.0000

--- Q ---
Entry from Alexandria via LeMat-Bulk: an optimized crystal structure of RbScMn3 (PBE).

Cell lengths 5.2792, 5.2792, 5.2792 Å; angles 90.00, 90.00, 90.00 degrees
Element x y z (fractional)
Rb1 0.0000 0.0000 0.0000
Sc1 0.5000 0.5000 0.5000
Mn1 0.0000 0.5000 0.5000
Mn2 0.5000 0.0000 0.5000
Mn3 0.5000 0.5000 0.0000

It comes down to Q, which is 77.0 kJ/mol of atoms more stable than the next structure.

--- P ---
Entry from Alexandria via LeMat-Bulk: an optimized crystal structure of Rb3Mn2Se4 (PBE).

Cell lengths 8.1099, 8.1099, 10.1707 Å; angles 118.96, 118.96, 31.31 degrees
Element x y z (fractional)
Rb1 0.0000 0.0000 0.0000
Rb2 0.3773 0.3773 0.2649
Rb3 0.6227 0.6227 0.7351
Mn1 0.3071 0.3071 0.6410
Mn2 0.6929 0.6929 0.3590
Se1 0.1266 0.1266 0.4155
Se2 0.3115 0.3115 0.8765
Se3 0.6885 0.6885 0.1235
Se4 0.8734 0.8734 0.5845

--- Q ---
Entry from Alexandria via LeMat-Bulk: an optimized crystal structure of Rb3Mn2Se4 (PBE).

Cell lengths 9.3131, 9.3131, 7.2649 Å; angles 93.94, 93.94, 73.86 degrees
Element x y z (fractional)
Rb1 0.0982 0.9018 0.7500
Rb2 0.2416 0.5112 0.4528
Rb3 0.4888 0.7584 0.0472
Rb4 0.5112 0.2416 0.9528
Rb5 0.7584 0.4888 0.5472
Rb6 0.9018 0.0982 0.2500
Mn1 0.0895 0.3326 0.9384
Mn2 0.3326 0.0895 0.4384
Mn3 0.6674 0.9105 0.5616
Mn4 0.9105 0.6674 0.0616
Se1 0.1126 0.2360 0.6112
Se2 0.1797 0.5635 0.9762
Se3 0.2360 0.1126 0.1112
Se4 0.4365 0.8203 0.5238
Se5 0.5635 0.1797 0.4762
Se6 0.7640 0.8874 0.8888
Se7 0.8203 0.4365 0.0238
Se8 0.8874 0.7640 0.3888

It comes down to Q, which is 5.7 kJ/mol of atoms more stable than the next structure.

--- P ---
Entry from Alexandria via LeMat-Bulk: an optimized crystal structure of RbMnSe3 (PBE).

Cell lengths 4.9091, 4.9091, 4.9091 Å; angles 90.00, 90.00, 90.00 degrees
Element x y z (fractional)
Rb1 0.0000 0.0000 0.0000
Mn1 0.5000 0.5000 0.5000
Se1 0.0000 0.5000 0.5000
Se2 0.5000 0.0000 0.5000
Se3 0.5000 0.5000 0.0000

--- Q ---
Entry from Alexandria via LeMat-Bulk: an optimized crystal structure of RbMnSe3 (PBE).

Cell lengths 8.4428, 8.4428, 8.4428 Å; angles 46.66, 46.66, 46.66 degrees
Element x y z (fractional)
Rb1 0.1180 0.1180 0.1180
Rb2 0.8820 0.8820 0.8820
Mn1 0.3342 0.3342 0.3342
Mn2 0.6658 0.6658 0.6658
Se1 0.0666 0.5694 0.5694
Se2 0.4306 0.4306 0.9334
Se3 0.4306 0.9334 0.4306
Se4 0.5694 0.0666 0.5694
Se5 0.5694 0.5694 0.0666
Se6 0.9334 0.4306 0.4306

It comes down to Q, which is 41.1 kJ/mol of atoms more stable than the next structure.

--- P ---
Entry from Alexandria via LeMat-Bulk: an optimized crystal structure of Rb2Mn2Se3 (PBE).

Cell lengths 11.4467, 11.4467, 7.3130 Å; angles 107.72, 107.72, 83.39 degrees
Element x y z (fractional)
Rb1 0.0655 0.9345 0.7500
Rb2 0.2108 0.7892 0.2500
Rb3 0.3077 0.4887 0.4365
Rb4 0.4887 0.3077 0.9365
Rb5 0.5113 0.6923 0.0635
Rb6 0.6923 0.5113 0.5635
Rb7 0.7892 0.2108 0.7500
Rb8 0.9345 0.0655 0.2500
Mn1 0.0350 0.5762 0.7410
Mn2 0.1502 0.2998 0.7999
Mn3 0.2998 0.1502 0.2999
Mn4 0.4238 0.9650 0.7590
Mn5 0.5762 0.0350 0.2410
Mn6 0.7002 0.8498 0.7001
Mn7 0.8498 0.7002 0.2001
Mn8 0.9650 0.4238 0.2590
Se1 0.0487 0.6443 0.4400
Se2 0.1001 0.2475 0.0904
Se3 0.2475 0.1001 0.5904
Se4 0.2485 0.5093 0.9183
Se5 0.3557 0.9513 0.0600
Se6 0.4907 0.7515 0.5817
Se7 0.5093 0.2485 0.4183
Se8 0.6443 0.0487 0.9400
Se9 0.7515 0.4907 0.0817
Se10 0.7525 0.8999 0.4096
Se11 0.8999 0.7525 0.9096
Se12 0.9513 0.3557 0.5600

--- Q ---
Entry from Alexandria via LeMat-Bulk: an optimized crystal structure of Rb2Mn2Se3 (PBE).

Cell lengths 7.4116, 7.4116, 8.5435 Å; angles 122.02, 122.02, 34.12 degrees
Element x y z (fractional)
Rb1 0.0649 0.0649 0.3443
Rb2 0.9351 0.9351 0.6557
Mn1 0.3052 0.3052 0.9297
Mn2 0.6948 0.6948 0.0703
Se1 0.3089 0.3089 0.2405
Se2 0.5000 0.5000 0.0000
Se3 0.6911 0.6911 0.7595

It comes down to Q, which is 0.8 kJ/mol of atoms more stable than the next structure.